Here is a relaxed structure of Tl3In2Au7 from Alexandria via LeMat-Bulk. Energies are from PBE-GGA.

Output
E (eV/atom): -2.97

The structure in CIF format:
```
data_Tl3In2Au7
_space_group_name_H-M_alt 'P 1 2/m 1'
_space_group_IT_number 10
_space_group_name_Hall '-P 2y'
_cell_length_a 4.0957
_cell_length_b 3.9968
_cell_length_c 18.4164
_cell_angle_alpha 90.00
_cell_angle_beta 96.03
_cell_angle_gamma 90.00
loop_
_atom_site_label
_atom_site_type_symbol
_atom_site_fract_x
_atom_site_fract_y
_atom_site_fract_z
Tl1 Tl 0.0000 0.0000 0.0000
Tl2 Tl 0.2149 0.0000 0.4268
In1 In 0.4163 0.5000 0.8523
Au1 Au 0.1351 0.5000 0.2565
Au2 Au 0.3100 0.5000 0.6268
Au3 Au 0.3644 0.0000 0.7438
Au4 Au 0.5000 0.5000 0.0000
```


Here is a relaxed structure of Be2GaCoSe from Alexandria via LeMat-Bulk. Energies are from PBE-GGA.

Output
E (eV/atom): -3.37

The structure in CIF format:
```
data_Be2GaCoSe
_space_group_name_H-M_alt 'P 4/m m m'
_space_group_IT_number 123
_space_group_name_Hall '-P 4 2'
_cell_length_a 4.2072
_cell_length_b 4.2072
_cell_length_c 4.6400
_cell_angle_alpha 90.00
_cell_angle_beta 90.00
_cell_angle_gamma 90.00
loop_
_atom_site_label
_atom_site_type_symbol
_atom_site_fract_x
_atom_site_fract_y
_atom_site_fract_z
Be1 Be 0.0000 0.5000 0.0000
Ga1 Ga 0.0000 0.0000 0.0000
Co1 Co 0.0000 0.0000 0.5000
Se1 Se 0.5000 0.5000 0.5000
```


Here is a relaxed structure of La2NdUN5 from Alexandria via LeMat-Bulk. Energies are from PBE-GGA.

Output
E (eV/atom): -8.76

The structure in CIF format:
```
data_La2NdUN5
_space_group_name_H-M_alt 'P 4/m m m'
_space_group_IT_number 123
_space_group_name_Hall '-P 4 2'
_cell_length_a 4.1218
_cell_length_b 4.1218
_cell_length_c 9.2173
_cell_angle_alpha 90.00
_cell_angle_beta 90.00
_cell_angle_gamma 90.00
loop_
_atom_site_label
_atom_site_type_symbol
_atom_site_fract_x
_atom_site_fract_y
_atom_site_fract_z
La1 La 0.0000 0.0000 0.2282
Nd1 Nd 0.5000 0.5000 0.5000
U1 U 0.5000 0.5000 0.0000
N1 N 0.0000 0.0000 0.5000
N2 N 0.0000 0.5000 0.0000
N3 N 0.5000 0.5000 0.2440
```


Here is a relaxed structure of Pm2Dy2YTh from Alexandria via LeMat-Bulk. Energies are from PBE-GGA.

Output
E (eV/atom): -5.27

The structure in CIF format:
```
data_Pm2Dy2YTh
_space_group_name_H-M_alt 'P 1 21/m 1'
_space_group_IT_number 11
_space_group_name_Hall '-P 2yb'
_cell_length_a 6.6259
_cell_length_b 6.8476
_cell_length_c 8.7949
_cell_angle_alpha 90.00
_cell_angle_beta 96.86
_cell_angle_gamma 90.00
loop_
_atom_site_label
_atom_site_type_symbol
_atom_site_fract_x
_atom_site_fract_y
_atom_site_fract_z
Pm1 Pm 0.0530 0.2500 0.0034
Pm2 Pm 0.1950 0.2500 0.6547
Dy1 Dy 0.3205 0.9997 0.3188
Y1 Y 0.1766 0.7500 0.6525
Th1 Th 0.4528 0.7500 0.0006
```


Here is a relaxed structure of TlSb2Se2 from Alexandria via LeMat-Bulk. Energies are from PBE-GGA.

Output
Polymorph energy (0 for the lowest one) (eV per atom): 0.0826

The structure in CIF format:
```
data_TlSb2Se2
_space_group_name_H-M_alt 'I 4/m m m'
_space_group_IT_number 139
_space_group_name_Hall '-I 4 2'
_cell_length_a 5.5647
_cell_length_b 5.5647
_cell_length_c 10.4828
_cell_angle_alpha 90.00
_cell_angle_beta 90.00
_cell_angle_gamma 90.00
loop_
_atom_site_label
_atom_site_type_symbol
_atom_site_fract_x
_atom_site_fract_y
_atom_site_fract_z
Tl1 Tl 0.0000 0.0000 0.0000
Sb1 Sb 0.0000 0.5000 0.2500
Se1 Se 0.0000 0.0000 0.3202
```


Here is a relaxed structure of Pm3Y2In4 from Alexandria via LeMat-Bulk. Energies are from PBE-GGA.

Output
E (eV/atom): -4.67

The structure in CIF format:
```
data_Pm3Y2In4
_space_group_name_H-M_alt 'P -3 m 1'
_space_group_IT_number 164
_space_group_name_Hall '-P 3 2"'
_cell_length_a 5.3577
_cell_length_b 5.3577
_cell_length_c 10.3434
_cell_angle_alpha 90.00
_cell_angle_beta 90.00
_cell_angle_gamma 120.00
loop_
_atom_site_label
_atom_site_type_symbol
_atom_site_fract_x
_atom_site_fract_y
_atom_site_fract_z
Pm1 Pm 0.0000 0.0000 0.0000
Pm2 Pm 0.3333 0.6667 0.4223
Y1 Y 0.3333 0.6667 0.7787
In1 In 0.0000 0.0000 0.3453
In2 In 0.3333 0.6667 0.1004
```


Here is a relaxed structure of Nd3Ni2Rh from Alexandria via LeMat-Bulk. Energies are from PBE-GGA.

Output
E (eV/atom): -5.92

The structure in CIF format:
```
data_Nd3Ni2Rh
_space_group_name_H-M_alt 'P n m a'
_space_group_IT_number 62
_space_group_name_Hall '-P 2ac 2n'
_cell_length_a 11.6759
_cell_length_b 4.0173
_cell_length_c 11.8508
_cell_angle_alpha 90.00
_cell_angle_beta 90.00
_cell_angle_gamma 90.00
loop_
_atom_site_label
_atom_site_type_symbol
_atom_site_fract_x
_atom_site_fract_y
_atom_site_fract_z
Nd1 Nd 0.0582 0.2500 0.1228
Nd2 Nd 0.1218 0.7500 0.5589
Nd3 Nd 0.2066 0.2500 0.8091
Ni1 Ni 0.0148 0.7500 0.3050
Ni2 Ni 0.1817 0.7500 0.9920
Rh1 Rh 0.1254 0.2500 0.3729
```


Here is a relaxed structure of La8Os3NCl4 from Alexandria via LeMat-Bulk. Energies are from PBE-GGA.

Output
E (eV/atom): -6.63

The structure in CIF format:
```
data_La8Os3NCl4
_space_group_name_H-M_alt 'R -3 m'
_space_group_IT_number 166
_space_group_name_Hall '-R 3 2"'
_cell_length_a 8.1517
_cell_length_b 8.1517
_cell_length_c 22.8363
_cell_angle_alpha 90.00
_cell_angle_beta 90.00
_cell_angle_gamma 120.00
loop_
_atom_site_label
_atom_site_type_symbol
_atom_site_fract_x
_atom_site_fract_y
_atom_site_fract_z
La1 La 0.0000 0.0000 0.2385
La2 La 0.0138 0.5069 0.2309
Os1 Os 0.0000 0.5000 0.5000
N1 N 0.0000 0.0000 0.5000
Cl1 Cl 0.0000 0.0000 0.0000
Cl2 Cl 0.0000 0.5000 0.0000
```


Here is a relaxed structure of MgTc2Se from Alexandria via LeMat-Bulk. Energies are from PBE-GGA.

Output
Polymorph energy (0 for the lowest one) (eV per atom): 0.3883

The structure in CIF format:
```
data_MgTc2Se
_space_group_name_H-M_alt 'F m -3 m'
_space_group_IT_number 225
_space_group_name_Hall '-F 4 2 3'
_cell_length_a 6.2103
_cell_length_b 6.2103
_cell_length_c 6.2103
_cell_angle_alpha 90.00
_cell_angle_beta 90.00
_cell_angle_gamma 90.00
loop_
_atom_site_label
_atom_site_type_symbol
_atom_site_fract_x
_atom_site_fract_y
_atom_site_fract_z
Mg1 Mg 0.0000 0.0000 0.0000
Tc1 Tc 0.2500 0.2500 0.2500
Se1 Se 0.0000 0.0000 0.5000
```


Here is a relaxed structure of Zr2BeHg from Alexandria via LeMat-Bulk. Energies are from PBE-GGA.

Output
Polymorph energy (0 for the lowest one) (eV per atom): 0.0000

The structure in CIF format:
```
data_Zr2BeHg
_space_group_name_H-M_alt 'P 4/m m m'
_space_group_IT_number 123
_space_group_name_Hall '-P 4 2'
_cell_length_a 3.0309
_cell_length_b 3.0309
_cell_length_c 8.1425
_cell_angle_alpha 90.00
_cell_angle_beta 90.00
_cell_angle_gamma 90.00
loop_
_atom_site_label
_atom_site_type_symbol
_atom_site_fract_x
_atom_site_fract_y
_atom_site_fract_z
Zr1 Zr 0.0000 0.0000 0.2079
Be1 Be 0.5000 0.5000 0.0000
Hg1 Hg 0.5000 0.5000 0.5000
```


Here is a relaxed structure of Tc3TeN from Alexandria via LeMat-Bulk. Energies are from PBE-GGA.

Output
Polymorph energy (0 for the lowest one) (eV per atom): 2.6819

The structure in CIF format:
```
data_Tc3TeN
_space_group_name_H-M_alt 'P m -3 m'
_space_group_IT_number 221
_space_group_name_Hall '-P 4 2 3'
_cell_length_a 4.8893
_cell_length_b 4.8893
_cell_length_c 4.8893
_cell_angle_alpha 90.00
_cell_angle_beta 90.00
_cell_angle_gamma 90.00
loop_
_atom_site_label
_atom_site_type_symbol
_atom_site_fract_x
_atom_site_fract_y
_atom_site_fract_z
Tc1 Tc 0.0000 0.0000 0.5000
Te1 Te 0.0000 0.0000 0.0000
N1 N 0.5000 0.5000 0.5000
```


Number 1: DOS(E_F) 5.43 states/eV/f.u.. Number 2: DOS(E_F) 3.21 states/eV/f.u.. Number 3: DOS(E_F) 0.99 states/eV/f.u.. Number 4: DOS(E_F) 10.17 states/eV/f.u.. Number 5: DOS(E_F) 2.53 states/eV/f.u.. Number 6: DOS(E_F) 8.17 states/eV/f.u.. Number 7: DOS(E_F) 4.25 states/eV/f.u.. Number 8: DOS(E_F) 8.49 states/eV/f.u.. Number 9: DOS(E_F) 5.06 states/eV/f.u.. Number 10: DOS(E_F) 3.84 states/eV/f.u.. Number 11: DOS(E_F) 4.58 states/eV/f.u..